Entry from Alexandria via LeMat-Bulk: a relaxed structure of Ce2PmAl (PBE).

Computed properties:
polymorph energy (0 for the lowest one): 0.116 eV/atom
space group: No. 123
calculated volume: 28.37 Å³/atom
calculated formation energy: -0.06 eV per atom

```
Ce2PmAl
1.0
-1.091 3.755 0.545
-2.199 -0.163 -3.275
-5.702 -2.228 3.939
Al Ce Pm
1 2 1
Direct
0.500 0.500 0.500 Al
0.000 0.000 0.693 Ce
0.000 0.000 0.307 Ce
0.500 0.500 0.000 Pm
```